1.
Nb2RhC | PBE | optimized geometry

Properties
DFT total energy = -9.217 eV/atom
ΔE_f = -39 meV per atom
SG = No. 166
DOS(E_F) = 1.25 states/eV/atom

The structure in CIF format:
```
data_Nb2RhC
_cell_length_a 3.070
_cell_length_b 3.070
_cell_length_c 7.712
_cell_angle_alpha 78.52
_cell_angle_beta 78.52
_cell_angle_gamma 60.00
_symmetry_space_group_name_H-M 'P 1'
_symmetry_Int_Tables_number 1
loop_
_symmetry_equiv_pos_as_xyz
'x,y,z'
loop_
_atom_site_label
_atom_site_fract_x
_atom_site_fract_y
_atom_site_fract_z
_atom_site_occupancy
Rh1 0.000 0.000 0.000 1
Nb1 0.111 0.111 0.667 1
Nb2 0.889 0.889 0.333 1
C1 0.500 0.500 0.500 1
```

***

2.
Nb6RhC4 | PBE | optimized geometry

Properties
DFT total energy = -10.012 eV/atom
ΔE_f = -497 meV per atom
SG = No. 63
DOS(E_F) = 0.51 states/eV/atom

The structure in CIF format:
```
data_Nb6RhC4
_cell_length_a 3.204
_cell_length_b 5.635
_cell_length_c 16.833
_cell_angle_alpha 90.00
_cell_angle_beta 90.00
_cell_angle_gamma 106.52
_symmetry_space_group_name_H-M 'P 1'
_symmetry_Int_Tables_number 1
loop_
_symmetry_equiv_pos_as_xyz
'x,y,z'
loop_
_atom_site_label
_atom_site_fract_x
_atom_site_fract_y
_atom_site_fract_z
_atom_site_occupancy
Rh1 0.668 0.337 0.250 1
Rh2 0.332 0.663 0.750 1
Nb1 0.040 0.080 0.150 1
Nb2 0.221 0.441 0.578 1
Nb3 0.357 0.713 0.250 1
Nb4 0.643 0.287 0.750 1
Nb5 0.221 0.441 0.922 1
Nb6 0.500 0.000 0.000 1
Nb7 0.779 0.559 0.078 1
Nb8 0.779 0.559 0.422 1
Nb9 0.040 0.080 0.350 1
Nb10 0.960 0.920 0.650 1
Nb11 0.960 0.920 0.850 1
Nb12 0.500 0.000 0.500 1
C1 0.409 0.819 0.377 1
C2 0.591 0.181 0.877 1
C3 0.138 0.276 0.040 1
C4 0.138 0.276 0.460 1
C5 0.862 0.724 0.540 1
C6 0.409 0.819 0.123 1
C7 0.591 0.181 0.623 1
C8 0.862 0.724 0.960 1
```

***

Question: What is the ΔE_f in the second record?
Answer: -497 meV per atom